Computed, not measured: RbMnF3 after structural relaxation at the GGA+U level of DFT.

Spin magnetization = 10.00 μB/cell
SG = No. 148
VASP energy = -0.2031 hartree per atom
N(E_F) = 0.00 states/eV per cell

Cell: 6.9333 6.9333 6.9333 Å, 50.64 50.64 50.64°
Last column: nearest neighbours and their distance in Å.
Element x y z (fractional)
1 Rb 0.6332 0.6332 0.6332  6 F 2.73-2.95
2 Rb 0.3668 0.3668 0.3668  6 F 2.73-2.95
3 Mn 0.8390 0.8390 0.8390  6 F 2.15-2.19
4 Mn 0.1610 0.1610 0.1610  6 F 2.15-2.19
5 F 0.5583 0.9884 0.1574  2 Mn 2.15-2.19
6 F 0.4417 0.0116 0.8426  2 Mn 2.15-2.19
7 F 0.0116 0.8426 0.4417  2 Mn 2.15-2.19
8 F 0.9884 0.1574 0.5583  2 Mn 2.15-2.19
9 F 0.8426 0.4417 0.0116  2 Mn 2.15-2.19
10 F 0.1574 0.5583 0.9884  2 Mn 2.15-2.19